## A
## AsOsPb (PBE)

Data for a geometry-optimized AsOsPb structure.

```
3
Lattice="0.000 3.181 3.181 3.181 0.000 3.181 3.181 3.181 0.000" Properties=species:S:1:pos:R:3 pbc="T T T"
As 0.000 0.000 0.000
Os 1.590 1.590 1.590
Pb 3.181 3.181 3.181
```

Output
* size of the total moment: 0.0 μB/f.u.

=====

## B
## AsOsPb (PBE)

Data for a geometry-optimized AsOsPb structure.

```
3
Lattice="3.321 0.000 0.000 -1.660 2.876 0.000 0.000 0.000 6.745" Properties=species:S:1:pos:R:3 pbc="T T T"
As 0.000 0.000 0.000
Os 1.660 0.959 1.532
Pb 0.000 1.917 3.815
```

Output
* size of the total moment: 0.0 μB/f.u.

=====

Stability ranking, top and bottom: B is the most stable and A is the least stable.

=====

## A
## AsOsPb3 (PBE)

Data for a geometry-optimized AsOsPb3 structure.

```
5
Lattice="5.268 0.000 0.000 0.000 5.268 0.000 0.000 0.000 5.268" Properties=species:S:1:pos:R:3 pbc="T T T"
As 0.000 0.000 0.000
Os 2.634 2.634 2.634
Pb 0.000 2.634 2.634
Pb 2.634 0.000 2.634
Pb 2.634 2.634 0.000
```

Output
* size of the total moment: 0.5 μB/f.u.

=====

## B
## AsOsPb3 (PBE)

Data for a geometry-optimized AsOsPb3 structure.

```
5
Lattice="5.469 0.000 0.000 0.000 5.469 0.000 0.000 0.000 5.469" Properties=species:S:1:pos:R:3 pbc="T T T"
As 0.000 0.000 0.000
Os 2.734 2.734 2.734
Pb 0.000 0.000 2.734
Pb 0.000 2.734 0.000
Pb 2.734 0.000 0.000
```

Output
* size of the total moment: 2.2 μB/f.u.

=====

Stability ranking, top and bottom: A is the most stable and B is the least stable.